(1)
! LaPaRh2 (PBE-GGA, optimized geometry); values from VASP
! Space-group type   No. 166
! Formation energy from the elements   -0.751 eV per atom
&SYSTEM
  ibrav = 0, nat = 12, ntyp = 3
/
ATOMIC_SPECIES
La 138.91 La.upf
Pa 231.04 Pa.upf
Rh 102.91 Rh.upf
ATOMIC_POSITIONS angstrom
La 0.000 0.000 0.000
La 0.000 2.311 13.740
La 2.002 1.156 6.870
Pa 0.000 0.000 10.305
Pa 0.000 2.311 3.435
Pa 2.002 1.156 17.175
Rh 0.000 0.000 4.952
Rh 0.000 0.000 15.658
Rh 0.000 2.311 8.788
Rh 0.000 2.311 18.692
Rh 2.002 1.156 1.918
Rh 2.002 1.156 11.822
CELL_PARAMETERS angstrom
4.003 0.000 0.000
-2.002 3.467 0.000
0.000 0.000 20.610

(2)
! LaPaRh2 (PBE-GGA, optimized geometry); values from VASP
! Space-group type   No. 160
! Formation energy from the elements   -0.686 eV per atom
&SYSTEM
  ibrav = 0, nat = 12, ntyp = 3
/
ATOMIC_SPECIES
La 138.91 La.upf
Pa 231.04 Pa.upf
Rh 102.91 Rh.upf
ATOMIC_POSITIONS angstrom
La 0.000 0.000 0.000
La 0.000 2.254 14.544
La 1.952 1.127 7.272
Pa 0.000 0.000 18.076
Pa 0.000 2.254 10.804
Pa 1.952 1.127 3.532
Rh 0.000 0.000 5.127
Rh 0.000 0.000 9.239
Rh 0.000 2.254 1.967
Rh 0.000 2.254 19.671
Rh 1.952 1.127 12.399
Rh 1.952 1.127 16.511
CELL_PARAMETERS angstrom
3.905 0.000 0.000
-1.952 3.382 0.000
0.000 0.000 21.816

- Among the records above, which one has the highest formation energy from the elements?
  number 2

- Among the records above, which one has the lowest formation energy from the elements?
  number 1

- The highest formation energy from the elements belongs to which entry?
  number 2

- The highest formation energy from the elements belongs to which entry?
  number 2